The following is a GGA-PBE calculation of a geometry-optimized Tb2NdSm6Er3 structure, from Alexandria.

Output
**E**: -111.7 eV/cell
**Calculated formation energy**: 0.02 eV/atom
**Crystal system**: monoclinic
**Density of states at the Fermi level**: 29.813 states/eV per cell

```
data_Tb2NdSm6Er3
_symmetry_space_group_name_H-M 'C 1 2/m 1'
_symmetry_Int_Tables_number 12
_cell_length_a 6.2250
_cell_length_b 10.7783
_cell_length_c 11.8656
_cell_angle_alpha 90.00
_cell_angle_beta 100.04
_cell_angle_gamma 90.00
loop_
_symmetry_equiv_pos_as_xyz
'x,y,z'
'-x,-y,-z'
'-x,y,-z'
'x,-y,z'
'x+1/2,y+1/2,z'
'-x+1/2,-y+1/2,-z'
'-x+1/2,y+1/2,-z'
'x+1/2,-y+1/2,z'
loop_
_atom_site_label
_atom_site_type_symbol
_atom_site_fract_x
_atom_site_fract_y
_atom_site_fract_z
Tb1 Tb 0.0000 0.1666 0.0000
Nd1 Nd 0.0000 0.5000 0.0000
Sm1 Sm 0.2486 0.1670 0.7472
Sm2 Sm 0.2505 0.0000 0.2527
Er1 Er 0.0000 0.0000 0.5000
Er2 Er 0.0000 0.3331 0.5000
```